The following is a PBE calculation of an optimized crystal structure of Li2Ac2USe6, from Alexandria.

As for the space group: R-3m. Its formation energy (no corrections) is -1263 meV per atom. For the calculated volume, the calculation gives 31.740 Å³/atom.

a = 7.6524 Å, b = 7.6524 Å, c = 8.1803 Å
α = 62.11°, β = 62.11°, γ = 60.00°
Closest atoms and distances in Å follow each position.
Fractional coordinates of all 11 atoms:
Ac1 0.1986 0.1986 0.4042  3 Se 3.02
Ac2 0.8014 0.8014 0.5958  3 Se 3.02
Li1 0.5725 0.5725 0.2824  3 Se 2.35
Li2 0.4275 0.4275 0.7176  3 Se 2.35
Se1 0.2482 0.7797 0.7240  1 Li 2.35
Se2 0.7797 0.2482 0.7240  1 Li 2.35
Se3 0.7518 0.2203 0.2760  1 Li 2.35
Se4 0.2203 0.7518 0.2760  1 Li 2.35
Se5 0.7518 0.7518 0.2760  1 Li 2.35
Se6 0.2482 0.2482 0.7240  1 Li 2.35
U1 0.0000 0.0000 0.0000  6 Se 2.81


The following is a PBE calculation of an optimized crystal structure of TbDy3Ho2, from Alexandria.

As for the space group: C2/c. For the calculated volume, the calculation gives 31.224 Å³/atom. The formation energy comes out at 0.00 eV/atom.

a = 7.1259 Å, b = 6.1685 Å, c = 9.4637 Å
α = 102.51°, β = 112.12°, γ = 90.00°
Closest atoms and distances in Å follow each position.
Fractional coordinates of all 12 atoms:
Ho1 0.5420 0.0280 0.3342  7 Dy 3.49-3.56, 3 Ho 3.49-3.56, 2 Tb 3.51
Ho2 0.2078 0.4720 0.6658  7 Dy 3.49-3.56, 3 Ho 3.49-3.56, 2 Tb 3.51
Ho3 0.4580 0.9720 0.6658  7 Dy 3.49-3.56, 3 Ho 3.49-3.56, 2 Tb 3.51
Ho4 0.7922 0.5280 0.3342  7 Dy 3.49-3.56, 3 Ho 3.49-3.56, 2 Tb 3.51
Dy1 0.7079 0.4716 0.6654  5 Dy 3.49-3.56, 6 Ho 3.49-3.56, 1 Tb 3.52
Dy2 0.0425 0.0284 0.3346  5 Dy 3.49-3.56, 6 Ho 3.49-3.56, 1 Tb 3.52
Dy3 0.2921 0.5284 0.3346  5 Dy 3.49-3.56, 6 Ho 3.49-3.56, 1 Tb 3.52
Dy4 0.9575 0.9716 0.6654  5 Dy 3.49-3.56, 6 Ho 3.49-3.56, 1 Tb 3.52
Dy5 0.1252 0.7500 0.0000  2 Ho 3.51, 6 Dy 3.51-3.56, 4 Tb 3.56
Dy6 0.8748 0.2500 0.0000  2 Ho 3.51, 6 Dy 3.51-3.56, 4 Tb 3.56
Tb1 0.6249 0.7500 0.0000  4 Ho 3.51, 6 Dy 3.52-3.56, 2 Tb 3.56
Tb2 0.3751 0.2500 0.0000  4 Ho 3.51, 6 Dy 3.52-3.56, 2 Tb 3.56